A relaxed InHg2Au crystal, computed with GGA-PBEsol.

Unit cell a=3.484 b=4.736 c=5.904 alpha=102.52 beta=90.00 gamma=111.58
Element x y z (fractional)
Hg: 0.006 0.012 0.015
Hg: 0.250 0.500 0.755
Au: 0.752 0.503 0.258
In: 0.492 0.985 0.472

Properties
DOS(E_F) = 0.32 states/eV per atom
Calculated total energy = -2.031 eV/atom
SG = No. 8

A relaxed InHgAu2 crystal, computed with GGA-PBEsol.

Unit cell a=3.444 b=4.456 c=5.461 alpha=90.00 beta=106.75 gamma=90.00
Element x y z (fractional)
Hg: 0.896 0.000 0.428
Au: 0.161 0.000 0.959
Au: 0.338 0.500 0.292
In: 0.605 0.500 0.821

Properties
DOS(E_F) = 0.33 states/eV per atom
Calculated total energy = -2.935 eV/atom
SG = No. 6

A relaxed InHg2Au crystal, computed with GGA-PBEsol.

Unit cell a=3.742 b=4.359 c=5.843 alpha=91.07 beta=108.68 gamma=90.00
Element x y z (fractional)
Hg: 0.763 0.750 0.527
Hg: 0.237 0.250 0.473
In: 0.500 0.500 0.000
Au: 0.000 0.000 0.000

Properties
DOS(E_F) = 0.32 states/eV per atom
Calculated total energy = -2.034 eV/atom
SG = No. 12

A relaxed In2HgAu crystal, computed with GGA-PBEsol.

Unit cell a=3.361 b=4.480 c=6.717 alpha=109.48 beta=104.49 gamma=90.00
Element x y z (fractional)
Au: 0.484 0.484 0.968
Hg: 0.202 0.702 0.405
In: 0.020 0.020 0.040
In: 0.794 0.294 0.588

Properties
DOS(E_F) = 0.40 states/eV per atom
Calculated total energy = -2.673 eV/atom
SG = No. 44

A relaxed InHgAu2 crystal, computed with GGA-PBEsol.

Unit cell a=3.764 b=3.764 c=5.579 alpha=90.00 beta=90.00 gamma=90.00
Element x y z (fractional)
Au: 0.500 0.500 0.263
Au: 0.000 0.000 0.986
Hg: 0.000 0.000 0.480
In: 0.500 0.500 0.771

Properties
DOS(E_F) = 0.30 states/eV per atom
Calculated total energy = -2.910 eV/atom
SG = No. 99

A relaxed InHg2Au crystal, computed with GGA-PBEsol.

Unit cell a=3.214 b=3.214 c=8.347 alpha=90.00 beta=90.00 gamma=90.00
Element x y z (fractional)
Hg: 0.000 0.000 0.725
Hg: 0.000 0.000 0.275
In: 0.500 0.500 0.000
Au: 0.500 0.500 0.500

Properties
DOS(E_F) = 0.34 states/eV per atom
Calculated total energy = -1.972 eV/atom
SG = No. 123

A relaxed InHg2Au crystal, computed with GGA-PBEsol.

Unit cell a=3.394 b=3.394 c=7.539 alpha=90.00 beta=90.00 gamma=90.00
Element x y z (fractional)
Au: 0.500 0.500 0.747
Hg: 0.500 0.500 0.245
Hg: 0.000 0.000 0.979
In: 0.000 0.000 0.529

Properties
DOS(E_F) = 0.33 states/eV per atom
Calculated total energy = -2.018 eV/atom
SG = No. 99

A relaxed InHgAu crystal, computed with GGA-PBEsol.

Unit cell a=3.335 b=3.335 c=6.180 alpha=105.65 beta=105.65 gamma=90.00
Element x y z (fractional)
In: 0.347 0.347 0.695
Hg: 0.656 0.656 0.313
Au: 0.996 0.996 0.992

Properties
DOS(E_F) = 0.36 states/eV per atom
Calculated total energy = -2.508 eV/atom
SG = No. 107

A relaxed InHgAu2 crystal, computed with GGA-PBEsol.

Unit cell a=4.217 b=4.217 c=5.226 alpha=113.79 beta=113.79 gamma=90.00
Element x y z (fractional)
Au: 0.000 0.000 0.000
Au: 0.750 0.250 0.500
Hg: 0.500 0.500 0.000
In: 0.250 0.750 0.500

Properties
DOS(E_F) = 0.40 states/eV per atom
Calculated total energy = -2.878 eV/atom
SG = No. 119

A relaxed InHgAu2 crystal, computed with GGA-PBEsol.

Unit cell a=3.625 b=3.625 c=5.882 alpha=90.00 beta=90.00 gamma=90.00
Element x y z (fractional)
Au: 0.000 0.000 0.748
Au: 0.000 0.000 0.252
Hg: 0.500 0.500 0.000
In: 0.500 0.500 0.500

Properties
DOS(E_F) = 0.33 states/eV per atom
Calculated total energy = -2.894 eV/atom
SG = No. 123

A relaxed InHgAu2 crystal, computed with GGA-PBEsol.

Unit cell a=3.565 b=3.565 c=7.928 alpha=77.01 beta=77.01 gamma=60.00
Element x y z (fractional)
In: 0.000 0.000 0.000
Au: 0.252 0.252 0.244
Au: 0.748 0.748 0.756
Hg: 0.500 0.500 0.500

Properties
DOS(E_F) = 0.32 states/eV per atom
Calculated total energy = -2.872 eV/atom
SG = No. 166

A relaxed InHgAu2 crystal, computed with GGA-PBEsol.

Unit cell a=3.743 b=4.594 c=5.072 alpha=104.22 beta=111.65 gamma=90.00
Element x y z (fractional)
In: 0.742 0.221 0.485
Hg: 0.504 0.522 0.009
Au: 0.253 0.745 0.506
Au: 0.000 0.012 0.000

Properties
DOS(E_F) = 0.29 states/eV per atom
Calculated total energy = -2.901 eV/atom
SG = No. 8

A relaxed InHgAu2 crystal, computed with GGA-PBEsol.

Unit cell a=3.654 b=3.654 c=5.928 alpha=90.00 beta=90.00 gamma=97.40
Element x y z (fractional)
Au: 0.000 0.000 0.246
Au: 0.000 0.000 0.754
Hg: 0.500 0.500 0.500
In: 0.500 0.500 0.000

Properties
DOS(E_F) = 0.29 states/eV per atom
Calculated total energy = -2.898 eV/atom
SG = No. 65

A relaxed In2HgAu crystal, computed with GGA-PBEsol.

Unit cell a=3.055 b=3.440 c=8.554 alpha=90.00 beta=95.95 gamma=90.00
Element x y z (fractional)
Au: 0.500 0.500 0.000
In: 0.079 0.000 0.217
In: 0.921 0.000 0.783
Hg: 0.000 0.500 0.500

Properties
DOS(E_F) = 0.36 states/eV per atom
Calculated total energy = -2.712 eV/atom
SG = No. 10

A relaxed Hg2IrAu crystal, computed with GGA-PBEsol.

Unit cell a=4.637 b=4.637 c=4.637 alpha=60.00 beta=60.00 gamma=60.00
Element x y z (fractional)
Ir: 0.500 0.500 0.500
Hg: 0.750 0.750 0.750
Hg: 0.250 0.250 0.250
Au: 0.000 0.000 0.000

Properties
DOS(E_F) = 0.46 states/eV per atom
Energy above the lowest structure with this stoichiometry = 9 meV/atom
Calculated total energy = -3.334 eV/atom
SG = No. 225

A relaxed Hg2IrAu crystal, computed with GGA-PBEsol.

Unit cell a=3.028 b=4.921 c=5.575 alpha=116.19 beta=105.76 gamma=90.00
Element x y z (fractional)
Ir: 0.000 0.500 0.000
Au: 0.500 0.000 0.000
Hg: 0.743 0.743 0.487
Hg: 0.257 0.257 0.513

Properties
DOS(E_F) = 0.50 states/eV per atom
Energy above the lowest structure with this stoichiometry = 6 meV/atom
Calculated total energy = -3.338 eV/atom
SG = No. 71

A relaxed HgIrAu crystal, computed with GGA-PBEsol.

Unit cell a=4.390 b=4.390 c=4.390 alpha=60.00 beta=60.00 gamma=60.00
Element x y z (fractional)
Au: 0.000 0.000 0.000
Hg: 0.500 0.500 0.500
Ir: 0.250 0.250 0.250

Properties
DOS(E_F) = 0.55 states/eV per atom
Calculated total energy = -4.104 eV/atom
SG = No. 216

A relaxed Hg2IrAu crystal, computed with GGA-PBEsol.

Unit cell a=2.972 b=4.122 c=5.793 alpha=90.00 beta=90.00 gamma=90.00
Element x y z (fractional)
Au: 0.500 0.500 0.747
Hg: 0.000 0.000 0.986
Hg: 0.500 0.500 0.274
Ir: 0.000 0.000 0.493

Properties
DOS(E_F) = 0.63 states/eV per atom
Energy above the lowest structure with this stoichiometry = 0 meV/atom
Calculated total energy = -3.344 eV/atom
SG = No. 25

A relaxed HgSbIrAu2 crystal, computed with GGA-PBEsol.

Unit cell a=4.962 b=4.962 c=5.235 alpha=90.00 beta=90.00 gamma=90.00
Last column: magnetic moment on the atom in μB.
Element x y z (fractional)
Au: 0.500 0.000 0.000  0.01
Au: 0.000 0.500 0.000  0.01
Sb: 0.000 0.000 0.500  -0.01
Ir: 0.500 0.500 0.500  0.83
Hg: 0.000 0.000 0.000  0.00

Properties
Uncorrected formation energy = 1.703 eV per atom
DOS(E_F) = 1.35 states/eV per atom
Calculated total energy = -2.856 eV/atom
SG = No. 123

A relaxed ZnHgIrAu2 crystal, computed with GGA-PBEsol.

Unit cell a=5.021 b=4.998 c=4.998 alpha=90.00 beta=90.00 gamma=90.00
Element x y z (fractional)
Zn: 0.500 0.500 0.500
Ir: 0.500 0.000 0.000
Au: 0.000 0.500 0.000
Au: 0.000 0.000 0.500
Hg: 0.000 0.000 0.000

Properties
DOS(E_F) = 0.86 states/eV per atom
Calculated total energy = -2.406 eV/atom
SG = No. 123

For reference, size of the total moment by record: 0.0 0.0 0.0 0.0 0.0 0.0 0.0 0.0 0.0 0.0 0.0 0.0 0.0 0.0 0.0 0.0 0.0 0.0 0.9 0.0 μB per cell.
For reference, volume by record: 88.1 80.2 90.3 91.9 79.0 86.2 86.9 63.5 76.3 77.3 84.2 78.2 78.5 89.4 70.5 71.1 59.8 71.0 128.9 125.4 Å³/f.u..